# YRu3C, relaxed, DFT PBE
data_YRu3C
_symmetry_space_group_name_H-M 'C 1 2/c 1'
_symmetry_Int_Tables_number 15
_symmetry_space_group_name_Hall '-C 2yc'
_cell_length_a 10.238
_cell_length_b 10.595
_cell_length_c 6.709
_cell_angle_alpha 90.00
_cell_angle_beta 115.85
_cell_angle_gamma 90.00
loop_
_atom_site_label
_atom_site_fract_x
_atom_site_fract_y
_atom_site_fract_z
Y1 0.156 0.095 0.145
Ru1 0.085 0.403 0.983
Ru2 0.145 0.332 0.404
Ru3 0.146 0.174 0.710
C1 0.000 0.272 0.750
C2 0.000 0.463 0.250
# - Crystal system: monoclinic
# - Formation energy from the elements: 0.13 eV per atom


# LuMgGe, relaxed, DFT PBE
data_LuMgGe
_symmetry_space_group_name_H-M 'F -4 3 m'
_symmetry_Int_Tables_number 216
_symmetry_space_group_name_Hall 'F -4 2 3'
_cell_length_a 6.547
_cell_length_b 6.547
_cell_length_c 6.547
_cell_angle_alpha 90.00
_cell_angle_beta 90.00
_cell_angle_gamma 90.00
loop_
_atom_site_label
_atom_site_fract_x
_atom_site_fract_y
_atom_site_fract_z
Lu1 0.000 0.000 0.000
Mg1 0.000 0.000 0.500
Ge1 0.250 0.250 0.250
# - Crystal system: cubic
# - Formation energy from the elements: -0.41 eV per atom


# Al2SbRh, relaxed, DFT PBE
data_Al2SbRh
_symmetry_space_group_name_H-M 'R -3 m'
_symmetry_Int_Tables_number 166
_symmetry_space_group_name_Hall '-R 3 2"'
_cell_length_a 3.1897
_cell_length_b 3.1897
_cell_length_c 25.0290
_cell_angle_alpha 90.00
_cell_angle_beta 90.00
_cell_angle_gamma 120.00
loop_
_atom_site_label
_atom_site_fract_x
_atom_site_fract_y
_atom_site_fract_z
Al1 0.0000 0.0000 0.2357
Sb1 0.0000 0.0000 0.0000
Rh1 0.0000 0.0000 0.5000
# - Formation energy (no corrections): -109.2 kJ/mol of formula units
# - Crystal system: trigonal


# Pm4PrHg2, relaxed, DFT PBE
data_Pm4PrHg2
_symmetry_space_group_name_H-M 'R -3 m'
_symmetry_Int_Tables_number 166
_symmetry_space_group_name_Hall '-R 3 2"'
_cell_length_a 5.1432
_cell_length_b 5.1432
_cell_length_c 31.8047
_cell_angle_alpha 90.00
_cell_angle_beta 90.00
_cell_angle_gamma 120.00
loop_
_atom_site_label
_atom_site_fract_x
_atom_site_fract_y
_atom_site_fract_z
Pm1 0.0000 0.0000 0.1071
Pm2 0.0000 0.0000 0.2979
Pr1 0.0000 0.0000 0.5000
Hg1 0.0000 0.0000 0.3991
# - Crystal system: trigonal
# - Formation energy from the elements: 0.03 eV per atom


# Nd12Pb6C, relaxed, DFT PBE
data_Nd12Pb6C
_symmetry_space_group_name_H-M 'R -3'
_symmetry_Int_Tables_number 148
_symmetry_space_group_name_Hall '-R 3'
_cell_length_a 12.4370
_cell_length_b 12.4370
_cell_length_c 14.2151
_cell_angle_alpha 90.00
_cell_angle_beta 90.00
_cell_angle_gamma 120.00
loop_
_atom_site_label
_atom_site_fract_x
_atom_site_fract_y
_atom_site_fract_z
Nd1 0.0300 0.8411 0.3847
Nd2 0.0338 0.1821 0.8936
Pb1 0.0046 0.6150 0.2487
C1 0.0000 0.0000 0.0000
# - Crystal system: trigonal
# - Formation energy from the elements: -0.36 eV per atom


# Hf4Mg2Ti, relaxed, DFT PBE
data_Hf4Mg2Ti
_symmetry_space_group_name_H-M 'C m m m'
_symmetry_Int_Tables_number 65
_symmetry_space_group_name_Hall '-C 2 2'
_cell_length_a 3.092
_cell_length_b 32.729
_cell_length_c 3.083
_cell_angle_alpha 90.00
_cell_angle_beta 90.00
_cell_angle_gamma 90.00
loop_
_atom_site_label
_atom_site_fract_x
_atom_site_fract_y
_atom_site_fract_z
Hf1 0.000 0.065 0.000
Hf2 0.000 0.368 0.500
Mg1 0.000 0.207 0.000
Ti1 0.000 0.500 0.500
# - Crystal system: orthorhombic
# - Formation energy from the elements: 0.08 eV per atom


# GeSbSe2, relaxed, DFT PBE
data_GeSbSe2
_symmetry_space_group_name_H-M 'R -3 m'
_symmetry_Int_Tables_number 166
_symmetry_space_group_name_Hall '-R 3 2"'
_cell_length_a 3.7297
_cell_length_b 3.7297
_cell_length_c 26.0761
_cell_angle_alpha 90.00
_cell_angle_beta 90.00
_cell_angle_gamma 120.00
loop_
_atom_site_label
_atom_site_fract_x
_atom_site_fract_y
_atom_site_fract_z
Ge1 0.0000 0.0000 0.0000
Sb1 0.0000 0.0000 0.5000
Se1 0.0000 0.0000 0.3933
# - Formation energy (no corrections): -7.3 kJ/mol of formula units
# - Crystal system: trigonal


| no. | volume (Å³/f.u.) |
| --- | --- |
| 1 | 81.9 |
| 2 | 70.2 |
| 3 | 73.5 |
| 4 | 242.9 |
| 5 | 634.7 |
| 6 | 156.0 |
| 7 | 104.7 |